(1)
DFT (PBEsol) results for a geometry-optimized BeAlHg structure.

The structure in extended XYZ format:
```
3
Lattice="4.224 0.000 0.000 2.112 3.659 0.000 2.112 1.220 3.449" Properties=species:S:1:pos:R:3 pbc="T T T"
Hg 4.224 2.439 1.725
Be 0.000 0.000 0.000
Al 6.337 3.659 2.587
```

Values from the calculation:
- total moment (Bohr magnetons per cell) = 0.000
- DFT formation energy (kJ per mole of atoms) = 41.0
- energy above the lowest structure with this stoichiometry (meV per atom) = 121
- SG = No. 216

***

(2)
DFT (PBEsol) results for a geometry-optimized GaTcS2Cl structure.

The structure in extended XYZ format:
```
5
Lattice="-0.861 -1.744 -4.192 1.921 -4.063 1.295 -4.174 -1.501 1.482" Properties=species:S:1:pos:R:3 pbc="T T T"
Ga 0.000 0.000 0.000
S -2.087 -0.750 0.741
Cl -0.431 -0.872 -2.096
S 0.960 -2.031 0.648
Tc -1.558 -3.654 -0.707
```

Values from the calculation:
- total moment (Bohr magnetons per cell) = 4.776
- energy above the lowest structure with this stoichiometry (meV per atom) = 730
- SG = No. 123
- energy relative to the elements, uncorrected (eV/atom) = 0.615

***

(3)
DFT (PBEsol) results for a geometry-optimized K2Hg3C8N8O8 structure.

The structure in extended XYZ format:
```
29
Lattice="3.944 -0.028 -0.005 -0.804 10.543 0.018 -0.921 -0.466 10.766" Properties=species:S:1:pos:R:3 pbc="T T T"
K 2.503 5.250 2.291
N 2.369 3.059 4.548
Hg 0.000 0.000 0.000
O 1.694 6.599 9.033
N 0.407 1.174 2.552
C 1.710 2.160 10.214
C 2.001 3.583 5.571
O 2.609 7.938 2.794
K -0.284 4.800 8.489
O -0.390 2.112 7.986
Hg -0.159 9.042 6.578
O 0.525 3.451 1.747
N 0.604 0.565 6.439
C 2.123 8.741 3.532
C 0.508 7.890 0.566
C 1.751 7.735 8.623
C 0.468 2.314 2.157
C 0.096 1.309 7.248
N 0.569 9.073 0.341
O 0.554 5.863 4.226
C 0.218 6.467 5.208
O 1.665 4.187 6.553
N 1.615 9.485 4.341
O 1.657 3.338 9.996
N 1.812 8.876 8.228
N -0.150 6.991 6.232
Hg 2.378 1.008 4.202
O 0.562 6.712 0.784
N 1.650 0.977 10.439
```

Values from the calculation:
- total moment (Bohr magnetons per cell) = 0.000
- SG = No. 2
- energy relative to the elements, uncorrected (eV/atom) = -0.495

***

(4)
DFT (PBEsol) results for a geometry-optimized KNbAlCo2 structure.

The structure in extended XYZ format:
```
5
Lattice="4.366 0.000 0.000 0.000 4.366 0.000 0.000 0.000 4.884" Properties=species:S:1:pos:R:3 pbc="T T T"
Nb 2.183 2.183 2.442
Co 2.183 0.000 0.000
K 0.000 0.000 2.442
Al 0.000 0.000 0.000
Co 0.000 2.183 0.000
```

Values from the calculation:
- total moment (Bohr magnetons per cell) = 1.504
- DFT formation energy (kJ per mole of atoms) = 166.7
- SG = No. 123

***

(5)
DFT (PBEsol) results for a geometry-optimized PtRh2 structure.

The structure in extended XYZ format:
```
12
Lattice="-0.297 -2.122 3.174 4.548 2.205 1.899 -4.319 5.873 3.524" Properties=species:S:1:pos:R:3 pbc="T T T"
Rh 0.416 0.691 3.967
Pt -0.202 5.707 7.263
Pt -1.052 2.668 5.151
Rh -0.485 5.265 4.631
Pt 0.134 0.248 1.334
Rh -1.316 2.192 2.498
Rh -2.738 4.135 3.664
Rh -2.472 4.626 6.328
Rh 2.403 1.330 2.269
Rh 1.247 3.763 6.099
Rh 2.670 1.821 4.933
Pt 0.983 3.288 3.446
```

Values from the calculation:
- total moment (Bohr magnetons per cell) = 0.001
- DFT formation energy (kJ per mole of atoms) = -1.7
- energy above the lowest structure with this stoichiometry (meV per atom) = 1
- SG = No. 62

***

(6)
DFT (PBEsol) results for a geometry-optimized IrRh3 structure.

The structure in extended XYZ format:
```
4
Lattice="-2.380 -0.300 1.191 2.112 -1.551 3.830 1.083 4.504 0.288" Properties=species:S:1:pos:R:3 pbc="T T T"
Rh -0.134 -0.926 2.510
Rh 1.534 1.022 3.324
Ir 0.000 0.000 0.000
Rh -0.720 1.631 1.985
```

Values from the calculation:
- total moment (Bohr magnetons per cell) = 0.000
- DFT formation energy (kJ per mole of atoms) = -1.9
- SG = No. 12

***

(7)
DFT (PBEsol) results for a geometry-optimized Tc2OsPb structure.

The structure in extended XYZ format:
```
4
Lattice="2.861 0.000 0.000 0.000 3.835 0.000 0.000 0.000 5.953" Properties=species:S:1:pos:R:3 pbc="T T T"
Pb 1.430 1.917 4.500
Os 0.000 0.000 2.686
Tc 1.430 1.917 1.582
Tc 0.000 0.000 0.162
```

Values from the calculation:
- total moment (Bohr magnetons per cell) = 0.000
- DFT formation energy (kJ per mole of atoms) = 60.8
- SG = No. 25

***

(8)
DFT (PBEsol) results for a geometry-optimized YAlMo2 structure.

The structure in extended XYZ format:
```
4
Lattice="3.442 0.000 0.000 0.000 3.442 0.000 0.000 0.000 6.287" Properties=species:S:1:pos:R:3 pbc="T T T"
Mo 0.000 0.000 4.286
Y 1.721 1.721 0.000
Al 1.721 1.721 3.143
Mo 0.000 0.000 2.001
```

Values from the calculation:
- total moment (Bohr magnetons per cell) = 0.000
- DFT formation energy (kJ per mole of atoms) = 5.3
- SG = No. 123